First-principles (PBE) data for an optimized crystal structure of Sm3Dy6Ho2Th, as listed in Alexandria.

Lattice parameters (Å, degrees): 6.176 6.176 11.810 95.01 95.01 119.97
Fractional coordinates of all 12 atoms:
Sm (0.000, 0.000, 0.000)
Sm (0.333, 0.667, 0.000)
Sm (0.667, 0.333, 0.000)
Dy (0.087, 0.417, 0.253)
Dy (0.253, 0.253, 0.747)
Dy (0.417, 0.087, 0.253)
Dy (0.583, 0.913, 0.747)
Dy (0.747, 0.747, 0.253)
Dy (0.913, 0.583, 0.747)
Ho (0.167, 0.833, 0.500)
Ho (0.833, 0.167, 0.500)
Th (0.500, 0.500, 0.500)

Values from the calculation:
Final energy = -4.84 eV per atom
Magnetization = 0.00 μB per formula unit
Space-group type = C2/m, No. 12
Calculated formation energy = 21 meV/atom

First-principles (PBE) data for an optimized crystal structure of LaBeOs3, as listed in Alexandria.

Lattice parameters (Å, degrees): 4.838 4.838 4.838 90.00 90.00 90.00
Fractional coordinates of all 5 atoms:
La (0.000, 0.000, 0.000)
Be (0.500, 0.500, 0.500)
Os (0.000, 0.000, 0.500)
Os (0.000, 0.500, 0.000)
Os (0.500, 0.000, 0.000)

Values from the calculation:
Final energy = -5.29 eV per atom
ΔE to the lowest computed polymorph = 2712 meV/atom
Magnetization = 0.64 μB per formula unit
Space-group type = Pm-3m, No. 221
Calculated formation energy = 3177 meV/atom

First-principles (PBE) data for an optimized crystal structure of NiGe2Pb, as listed in Alexandria.

Lattice parameters (Å, degrees): 3.373 3.373 26.199 90.00 90.00 120.00
Fractional coordinates of all 12 atoms:
Ni (0.000, 0.000, 0.000)
Ni (0.333, 0.667, 0.667)
Ni (0.667, 0.333, 0.333)
Ge (0.000, 0.000, 0.388)
Ge (0.000, 0.000, 0.612)
Ge (0.333, 0.667, 0.054)
Ge (0.333, 0.667, 0.279)
Ge (0.667, 0.333, 0.721)
Ge (0.667, 0.333, 0.946)
Pb (0.000, 0.000, 0.500)
Pb (0.333, 0.667, 0.167)
Pb (0.667, 0.333, 0.833)

Values from the calculation:
Final energy = -4.60 eV per atom
Magnetization = 0.00 μB per formula unit
Space-group type = R-3m, No. 166
Calculated formation energy = 86 meV/atom

First-principles (PBE) data for an optimized crystal structure of NiRuAu2, as listed in Alexandria.

Lattice parameters (Å, degrees): 2.777 3.936 5.651 90.00 90.00 90.00
Fractional coordinates of all 4 atoms:
Ni (0.000, 0.000, 0.000)
Ru (0.000, 0.000, 0.500)
Au (0.500, 0.500, 0.244)
Au (0.500, 0.500, 0.756)

Values from the calculation:
Final energy = -5.05 eV per atom
ΔE to the lowest computed polymorph = 162 meV/atom
Magnetization = 1.99 μB per formula unit
Space-group type = Pmmm, No. 47
Calculated formation energy = 356 meV/atom

First-principles (PBE) data for an optimized crystal structure of LiCaAcGd, as listed in Alexandria.

Lattice parameters (Å, degrees): 8.283 8.283 8.283 90.00 90.00 90.00
Fractional coordinates of all 16 atoms:
Li (0.000, 0.000, 0.000)
Li (0.000, 0.500, 0.500)
Li (0.500, 0.000, 0.500)
Li (0.500, 0.500, 0.000)
Ca (0.250, 0.250, 0.250)
Ca (0.250, 0.750, 0.750)
Ca (0.750, 0.250, 0.750)
Ca (0.750, 0.750, 0.250)
Ac (0.250, 0.250, 0.750)
Ac (0.250, 0.750, 0.250)
Ac (0.750, 0.250, 0.250)
Ac (0.750, 0.750, 0.750)
Gd (0.000, 0.000, 0.500)
Gd (0.000, 0.500, 0.000)
Gd (0.500, 0.000, 0.000)
Gd (0.500, 0.500, 0.500)

Values from the calculation:
Final energy = -5.34 eV per atom
Magnetization = 7.61 μB per formula unit
Space-group type = F-43m, No. 216
Calculated formation energy = 182 meV/atom

First-principles (PBE) data for an optimized crystal structure of CePu2Ti, as listed in Alexandria.

Lattice parameters (Å, degrees): 4.589 4.589 4.490 90.00 90.00 90.00
Fractional coordinates of all 4 atoms:
Ce (0.000, 0.000, 0.000)
Pu (0.000, 0.500, 0.500)
Pu (0.500, 0.000, 0.500)
Ti (0.500, 0.500, 0.000)

Values from the calculation:
Final energy = -10.42 eV per atom
ΔE to the lowest computed polymorph = 33 meV/atom
Magnetization = 11.00 μB per formula unit
Space-group type = P4/mmm, No. 123
Calculated formation energy = 200 meV/atom

First-principles (PBE) data for an optimized crystal structure of CeLuZr, as listed in Alexandria.

Lattice parameters (Å, degrees): 3.281 3.281 14.979 90.00 90.00 90.00
Fractional coordinates of all 6 atoms:
Ce (0.000, 0.000, 0.000)
Ce (0.500, 0.500, 0.500)
Lu (0.000, 0.000, 0.319)
Lu (0.500, 0.500, 0.819)
Zr (0.000, 0.000, 0.662)
Zr (0.500, 0.500, 0.162)

Values from the calculation:
Final energy = -6.24 eV per atom
ΔE to the lowest computed polymorph = 44 meV/atom
Magnetization = 0.52 μB per formula unit
Space-group type = I4mm, No. 107
Calculated formation energy = 95 meV/atom

First-principles (PBE) data for an optimized crystal structure of Sc2MnCr2C4, as listed in Alexandria.

Lattice parameters (Å, degrees): 6.078 6.078 5.167 99.32 99.32 29.65
Fractional coordinates of all 9 atoms:
Sc (0.129, 0.129, 0.040)
Sc (0.871, 0.871, 0.960)
Mn (0.000, 0.000, 0.500)
Cr (0.336, 0.336, 0.452)
Cr (0.664, 0.664, 0.548)
C (0.247, 0.247, 0.734)
C (0.495, 0.495, 0.257)
C (0.505, 0.505, 0.743)
C (0.753, 0.753, 0.266)

Values from the calculation:
Final energy = -8.84 eV per atom
Magnetization = 1.62 μB per formula unit
Space-group type = C2/m, No. 12
Calculated formation energy = -176 meV/atom

First-principles (PBE) data for an optimized crystal structure of BaNaSiIr, as listed in Alexandria.

Lattice parameters (Å, degrees): 4.190 4.190 13.246 90.00 90.00 90.00
Fractional coordinates of all 8 atoms:
Ba (0.250, 0.250, 0.217)
Ba (0.750, 0.750, 0.783)
Na (0.250, 0.750, 0.500)
Na (0.750, 0.250, 0.500)
Si (0.250, 0.250, 0.909)
Si (0.750, 0.750, 0.091)
Ir (0.250, 0.750, 0.000)
Ir (0.750, 0.250, 0.000)

Values from the calculation:
Final energy = -4.87 eV per atom
Magnetization = 0.00 μB per formula unit
Space-group type = P4/nmm, No. 129
Raw formation energy = -2.0 eV per formula unit

First-principles (PBE) data for an optimized crystal structure of La3Th2Ir4, as listed in Alexandria.

Lattice parameters (Å, degrees): 7.313 7.313 10.361 120.65 120.65 33.65
Fractional coordinates of all 9 atoms:
La (0.000, 0.000, 0.000)
La (0.191, 0.191, 0.804)
La (0.809, 0.809, 0.196)
Th (0.382, 0.382, 0.619)
Th (0.618, 0.618, 0.381)
Ir (0.220, 0.220, 0.311)
Ir (0.411, 0.411, 0.117)
Ir (0.589, 0.589, 0.883)
Ir (0.780, 0.780, 0.689)

Values from the calculation:
Final energy = -7.97 eV per atom
Magnetization = 0.00 μB per formula unit
Space-group type = C2/m, No. 12
Calculated formation energy = -740 meV/atom

First-principles (PBE) data for an optimized crystal structure of LiTbGaCu, as listed in Alexandria.

Lattice parameters (Å, degrees): 6.480 6.480 6.480 90.00 90.00 90.00
Fractional coordinates of all 16 atoms:
Li (0.000, 0.000, 0.000)
Li (0.000, 0.500, 0.500)
Li (0.500, 0.000, 0.500)
Li (0.500, 0.500, 0.000)
Tb (0.250, 0.250, 0.250)
Tb (0.250, 0.750, 0.750)
Tb (0.750, 0.250, 0.750)
Tb (0.750, 0.750, 0.250)
Ga (0.250, 0.250, 0.750)
Ga (0.250, 0.750, 0.250)
Ga (0.750, 0.250, 0.250)
Ga (0.750, 0.750, 0.750)
Cu (0.000, 0.000, 0.500)
Cu (0.000, 0.500, 0.000)
Cu (0.500, 0.000, 0.000)
Cu (0.500, 0.500, 0.500)

Values from the calculation:
Final energy = -3.79 eV per atom
Magnetization = 0.00 μB per formula unit
Space-group type = F-43m, No. 216
Calculated formation energy = -373 meV/atom

First-principles (PBE) data for an optimized crystal structure of Li2Hg2Te, as listed in Alexandria.

Lattice parameters (Å, degrees): 4.319 4.319 12.623 90.00 90.00 90.00
Fractional coordinates of all 10 atoms:
Li (0.000, 0.500, 0.250)
Li (0.000, 0.500, 0.750)
Li (0.500, 0.000, 0.250)
Li (0.500, 0.000, 0.750)
Hg (0.000, 0.000, 0.120)
Hg (0.000, 0.000, 0.880)
Hg (0.500, 0.500, 0.380)
Hg (0.500, 0.500, 0.620)
Te (0.000, 0.000, 0.500)
Te (0.500, 0.500, 0.000)

Values from the calculation:
Final energy = -1.80 eV per atom
ΔE to the lowest computed polymorph = 108 meV/atom
Magnetization = 0.00 μB per formula unit
Space-group type = I4/mmm, No. 139
Raw formation energy = -1.4 eV per formula unit

First-principles (PBE) data for an optimized crystal structure of V4SbTe5, as listed in Alexandria.

Lattice parameters (Å, degrees): 8.491 8.491 8.306 96.23 96.23 23.98
Fractional coordinates of all 10 atoms:
V (0.022, 0.022, 0.260)
V (0.312, 0.312, 0.915)
V (0.688, 0.688, 0.085)
V (0.978, 0.978, 0.740)
Sb (0.500, 0.500, 0.000)
Te (0.152, 0.152, 0.845)
Te (0.182, 0.182, 0.331)
Te (0.500, 0.500, 0.500)
Te (0.818, 0.818, 0.669)
Te (0.848, 0.848, 0.155)

Values from the calculation:
Final energy = -5.75 eV per atom
Magnetization = 3.15 μB per formula unit
Space-group type = C2/m, No. 12
Raw formation energy = -1.2 eV per formula unit

First-principles (PBE) data for an optimized crystal structure of Cs2ThGa2O6, as listed in Alexandria.

Lattice parameters (Å, degrees): 6.296 6.296 7.557 114.40 114.40 60.01
Fractional coordinates of all 11 atoms:
Cs (0.208, 0.208, 0.125)
Cs (0.792, 0.792, 0.875)
Th (0.000, 0.000, 0.500)
Ga (0.404, 0.404, 0.710)
Ga (0.596, 0.596, 0.290)
O (0.240, 0.240, 0.709)
O (0.242, 0.734, 0.714)
O (0.266, 0.758, 0.286)
O (0.734, 0.242, 0.714)
O (0.758, 0.266, 0.286)
O (0.760, 0.760, 0.291)

Values from the calculation:
Final energy = -6.31 eV per atom
Magnetization = 0.00 μB per formula unit
Space-group type = C2/m, No. 12
Raw formation energy = -24.5 eV per formula unit

First-principles (PBE) data for an optimized crystal structure of KTcAs2, as listed in Alexandria.

Lattice parameters (Å, degrees): 4.150 4.150 9.619 90.00 90.00 90.00
Fractional coordinates of all 8 atoms:
K (0.000, 0.000, 0.000)
K (0.500, 0.500, 0.500)
Tc (0.000, 0.500, 0.750)
Tc (0.500, 0.000, 0.250)
As (0.000, 0.000, 0.500)
As (0.000, 0.500, 0.250)
As (0.500, 0.000, 0.750)
As (0.500, 0.500, 0.000)

Values from the calculation:
Final energy = -4.42 eV per atom
ΔE to the lowest computed polymorph = 1017 meV/atom
Magnetization = 2.51 μB per formula unit
Space-group type = I-4m2, No. 119
Calculated formation energy = 768 meV/atom

First-principles (PBE) data for an optimized crystal structure of ZrTaMn4, as listed in Alexandria.

Lattice parameters (Å, degrees): 4.904 4.904 4.904 60.00 60.00 60.00
Fractional coordinates of all 6 atoms:
Zr (0.000, 0.000, 0.000)
Ta (0.750, 0.750, 0.750)
Mn (0.375, 0.375, 0.375)
Mn (0.375, 0.375, 0.874)
Mn (0.375, 0.874, 0.375)
Mn (0.874, 0.375, 0.375)

Values from the calculation:
Final energy = -9.69 eV per atom
Magnetization = 3.59 μB per formula unit
Space-group type = F-43m, No. 216
Calculated formation energy = -175 meV/atom

First-principles (PBE) data for an optimized crystal structure of TaNiRu, as listed in Alexandria.

Lattice parameters (Å, degrees): 7.390 7.390 7.390 111.27 87.80 132.50
Fractional coordinates of all 18 atoms:
Ta (0.175, 0.002, 0.177)
Ta (0.175, 0.498, 0.673)
Ta (0.396, 0.701, 0.195)
Ta (0.506, 0.201, 0.805)
Ta (0.825, 0.502, 0.327)
Ta (0.825, 0.998, 0.823)
Ni (0.259, 0.259, 0.000)
Ni (0.259, 0.759, 0.500)
Ni (0.516, 0.180, 0.456)
Ni (0.516, 0.560, 0.837)
Ni (0.724, 0.060, 0.544)
Ni (0.724, 0.680, 0.163)
Ru (0.078, 0.040, 0.538)
Ru (0.480, 0.970, 0.010)
Ru (0.502, 0.540, 0.462)
Ru (0.957, 0.210, 0.247)
Ru (0.960, 0.470, 0.990)
Ru (0.963, 0.710, 0.753)

Values from the calculation:
Final energy = -9.07 eV per atom
ΔE to the lowest computed polymorph = 199 meV/atom
Magnetization = 0.00 μB per formula unit
Space-group type = Ima2, No. 46
Calculated formation energy = -100 meV/atom

First-principles (PBE) data for an optimized crystal structure of Cd5Hg11Pb, as listed in Alexandria.

Lattice parameters (Å, degrees): 8.668 8.668 6.242 92.61 92.61 106.81
Fractional coordinates of all 17 atoms:
Cd (0.000, 0.000, 0.000)
Cd (0.166, 0.480, 0.306)
Cd (0.480, 0.166, 0.306)
Cd (0.520, 0.834, 0.694)
Cd (0.834, 0.520, 0.694)
Hg (0.123, 0.370, 0.823)
Hg (0.139, 0.139, 0.434)
Hg (0.171, 0.741, 0.745)
Hg (0.259, 0.829, 0.255)
Hg (0.370, 0.123, 0.823)
Hg (0.500, 0.500, 0.500)
Hg (0.630, 0.877, 0.177)
Hg (0.741, 0.171, 0.745)
Hg (0.829, 0.259, 0.255)
Hg (0.861, 0.861, 0.566)
Hg (0.877, 0.630, 0.177)
Pb (0.500, 0.500, 0.000)

Values from the calculation:
Final energy = -0.64 eV per atom
Magnetization = 0.00 μB per formula unit
Space-group type = C2/m, No. 12
Calculated formation energy = 39 meV/atom

First-principles (PBE) data for an optimized crystal structure of K2Ag2Au, as listed in Alexandria.

Lattice parameters (Å, degrees): 5.904 5.904 9.445 98.97 98.97 64.51
Fractional coordinates of all 10 atoms:
K (0.027, 0.276, 0.162)
K (0.276, 0.027, 0.662)
K (0.724, 0.973, 0.338)
K (0.973, 0.724, 0.838)
Ag (0.244, 0.501, 0.494)
Ag (0.499, 0.756, 0.006)
Ag (0.501, 0.244, 0.994)
Ag (0.756, 0.499, 0.506)
Au (0.401, 0.599, 0.250)
Au (0.599, 0.401, 0.750)

Values from the calculation:
Final energy = -2.34 eV per atom
ΔE to the lowest computed polymorph = 30 meV/atom
Magnetization = 0.00 μB per formula unit
Space-group type = C2/c, No. 15
Calculated formation energy = -103 meV/atom

First-principles (PBE) data for an optimized crystal structure of SrAg2Pd2, as listed in Alexandria.

Lattice parameters (Å, degrees): 7.948 7.948 3.205 90.00 90.00 90.00
Fractional coordinates of all 10 atoms:
Sr (0.000, 0.000, 0.000)
Sr (0.500, 0.500, 0.000)
Ag (0.124, 0.376, 0.000)
Ag (0.376, 0.876, 0.000)
Ag (0.624, 0.124, 0.000)
Ag (0.876, 0.624, 0.000)
Pd (0.171, 0.671, 0.500)
Pd (0.329, 0.171, 0.500)
Pd (0.671, 0.829, 0.500)
Pd (0.829, 0.329, 0.500)

Values from the calculation:
Final energy = -3.76 eV per atom
ΔE to the lowest computed polymorph = 59 meV/atom
Magnetization = 0.00 μB per formula unit
Space-group type = P4/mbm, No. 127
Calculated formation energy = -209 meV/atom